Version A
! meta-GGA SCAN Fe2TcCl, PBEsol geometry; values from VASP
&SYSTEM
  ibrav = 0, nat = 4, ntyp = 3
/
ATOMIC_SPECIES
Fe 55.84 Fe.upf
Cl 35.45 Cl.upf
Tc 98.00 Tc.upf
CELL_PARAMETERS angstrom
4.1394 0.0000 0.0000
2.0697 3.5849 0.0000
2.0697 1.1950 3.3798
ATOMIC_POSITIONS crystal
Fe 0.7500 0.7500 0.7500
Fe 0.2500 0.2500 0.2500
Cl 0.0000 0.0000 0.0000
Tc 0.5000 0.5000 0.5000
! Space-group type: Fm-3m
! Size of the total moment: 2.6 Bohr magnetons per cell

=====

Version B
! meta-GGA SCAN Fe2TcCl, PBEsol geometry; values from VASP
&SYSTEM
  ibrav = 0, nat = 4, ntyp = 3
/
ATOMIC_SPECIES
Fe 55.84 Fe.upf
Tc 98.00 Tc.upf
Cl 35.45 Cl.upf
CELL_PARAMETERS angstrom
-0.0388 2.5085 -1.1180
-2.4296 -1.4252 -3.1134
-3.6005 0.9938 2.3547
ATOMIC_POSITIONS crystal
Fe 0.5000 0.5000 0.0000
Fe 0.0000 0.0000 0.0000
Tc 0.5000 0.0000 0.5000
Cl 0.0000 0.5000 0.5000
! Space-group type: Pmmm
! Size of the total moment: 5.8 Bohr magnetons per cell

=====

Version C
! meta-GGA SCAN Fe2TcCl, PBEsol geometry; values from VASP
&SYSTEM
  ibrav = 0, nat = 4, ntyp = 3
/
ATOMIC_SPECIES
Fe 55.84 Fe.upf
Cl 35.45 Cl.upf
Tc 98.00 Tc.upf
CELL_PARAMETERS angstrom
4.1120 0.0000 0.0000
0.0000 4.1120 0.0000
-2.0560 -2.0560 2.9128
ATOMIC_POSITIONS crystal
Fe 0.0000 0.0000 0.0000
Fe 0.7500 0.2500 0.5000
Cl 0.2500 0.7500 0.5000
Tc 0.5000 0.5000 0.0000
! Space-group type: F-43m
! Size of the total moment: 4.5 Bohr magnetons per cell

=====

Quick one: most stable of them? version B

=====

Version A
! meta-GGA SCAN FeTeCl2, PBEsol geometry; values from VASP
&SYSTEM
  ibrav = 0, nat = 4, ntyp = 3
/
ATOMIC_SPECIES
Cl 35.45 Cl.upf
Fe 55.84 Fe.upf
Te 127.60 Te.upf
CELL_PARAMETERS angstrom
4.1744 0.0000 0.0000
-2.0872 2.1686 0.0000
0.0000 0.0000 10.0285
ATOMIC_POSITIONS crystal
Cl 0.0000 0.0000 0.6476
Cl 0.0000 0.0000 0.3524
Fe 0.5000 0.0000 0.5000
Te 0.5000 0.0000 0.0000
! Space-group type: Cmmm
! Size of the total moment: 4.0 Bohr magnetons per cell

=====

Version B
! meta-GGA SCAN FeTeCl2, PBEsol geometry; values from VASP
&SYSTEM
  ibrav = 0, nat = 4, ntyp = 3
/
ATOMIC_SPECIES
Cl 35.45 Cl.upf
Fe 55.84 Fe.upf
Te 127.60 Te.upf
CELL_PARAMETERS angstrom
-2.5238 -3.3340 1.2774
3.7636 -1.9472 1.0772
-0.8743 4.3748 2.8464
ATOMIC_POSITIONS crystal
Cl 0.5000 0.0000 0.5000
Cl 0.0000 0.5000 0.5000
Fe 0.5000 0.5000 0.0000
Te 0.0000 0.0000 0.0000
! Space-group type: Fmmm
! Size of the total moment: 3.5 Bohr magnetons per cell

=====

Version C
! meta-GGA SCAN FeTeCl2, PBEsol geometry; values from VASP
&SYSTEM
  ibrav = 0, nat = 4, ntyp = 3
/
ATOMIC_SPECIES
Fe 55.84 Fe.upf
Cl 35.45 Cl.upf
Te 127.60 Te.upf
CELL_PARAMETERS angstrom
-0.4033 1.3199 2.8720
-4.5429 -2.1201 0.3364
2.0503 -4.0521 2.1501
ATOMIC_POSITIONS crystal
Fe 0.5000 0.5000 0.5000
Cl 0.0000 0.5000 0.0000
Cl 0.0000 0.0000 0.5000
Te 0.5000 0.0000 0.0000
! Space-group type: P4/mmm
! Size of the total moment: 3.3 Bohr magnetons per cell

=====

Quick one: most stable of them? version A

=====

Version A
! meta-GGA SCAN Tl2FeCl, PBEsol geometry; values from VASP
&SYSTEM
  ibrav = 0, nat = 4, ntyp = 3
/
ATOMIC_SPECIES
Tl 204.38 Tl.upf
Cl 35.45 Cl.upf
Fe 55.84 Fe.upf
CELL_PARAMETERS angstrom
3.0405 0.0000 0.0000
0.0000 3.8954 0.0000
-1.5202 -1.9477 7.6145
ATOMIC_POSITIONS crystal
Tl 0.3264 0.3264 0.6528
Tl 0.6736 0.6736 0.3472
Cl 0.5000 0.0000 0.0000
Fe 0.0000 0.5000 0.0000
! Space-group type: Immm
! Size of the total moment: 2.9 Bohr magnetons per cell

=====

Version B
! meta-GGA SCAN Tl2FeCl, PBEsol geometry; values from VASP
&SYSTEM
  ibrav = 0, nat = 4, ntyp = 3
/
ATOMIC_SPECIES
Tl 204.38 Tl.upf
Fe 55.84 Fe.upf
Cl 35.45 Cl.upf
CELL_PARAMETERS angstrom
-1.7207 -2.2103 1.4195
3.4769 -0.0680 4.1087
-3.6167 4.7983 -0.3861
ATOMIC_POSITIONS crystal
Tl 0.2487 0.7487 0.4973
Tl 0.0415 0.0415 0.0830
Fe 0.7712 0.2712 0.5424
Cl 0.4387 0.4387 0.8773
! Space-group type: Imm2
! Size of the total moment: 3.1 Bohr magnetons per cell

=====

Quick one: most stable of them? version B

=====

Version A
! meta-GGA SCAN TlFeCl2, PBEsol geometry; values from VASP
&SYSTEM
  ibrav = 0, nat = 4, ntyp = 3
/
ATOMIC_SPECIES
Cl 35.45 Cl.upf
Fe 55.84 Fe.upf
Tl 204.38 Tl.upf
CELL_PARAMETERS angstrom
3.2784 0.0000 0.0000
1.6392 5.5165 0.0171
1.6392 2.4352 4.9499
ATOMIC_POSITIONS crystal
Cl 0.1773 0.8227 0.8227
Cl 0.8227 0.1773 0.1773
Fe 0.5000 0.0000 0.0000
Tl 0.0000 0.5000 0.5000
! Space-group type: Immm
! Size of the total moment: 3.4 Bohr magnetons per cell

=====

Version B
! meta-GGA SCAN TlFeCl2, PBEsol geometry; values from VASP
&SYSTEM
  ibrav = 0, nat = 4, ntyp = 3
/
ATOMIC_SPECIES
Cl 35.45 Cl.upf
Fe 55.84 Fe.upf
Tl 204.38 Tl.upf
CELL_PARAMETERS angstrom
-0.0655 -1.2968 3.1482
4.2875 -0.6763 -0.1893
-1.1325 6.0811 2.4812
ATOMIC_POSITIONS crystal
Cl 0.0000 0.8956 0.7913
Cl 0.5000 0.2140 0.4280
Fe 0.0000 0.3393 0.6785
Tl 0.5000 0.5347 0.0693
! Space-group type: Amm2
! Size of the total moment: 3.2 Bohr magnetons per cell

=====

Quick one: most stable of them? version A

=====

Version A
! meta-GGA SCAN FeWCl2, PBEsol geometry; values from VASP
&SYSTEM
  ibrav = 0, nat = 4, ntyp = 3
/
ATOMIC_SPECIES
Cl 35.45 Cl.upf
Fe 55.84 Fe.upf
W 183.84 W.upf
CELL_PARAMETERS angstrom
2.9202 0.0000 0.0000
0.0000 4.2023 0.0000
-1.4601 -2.1011 6.6619
ATOMIC_POSITIONS crystal
Cl 0.8524 0.8524 0.7049
Cl 0.1476 0.1476 0.2951
Fe 0.0000 0.5000 0.0000
W 0.5000 0.0000 0.0000
! Space-group type: Immm
! Size of the total moment: 2.2 Bohr magnetons per cell

=====

Version B
! meta-GGA SCAN FeWCl2, PBEsol geometry; values from VASP
&SYSTEM
  ibrav = 0, nat = 4, ntyp = 3
/
ATOMIC_SPECIES
W 183.84 W.upf
Cl 35.45 Cl.upf
Fe 55.84 Fe.upf
CELL_PARAMETERS angstrom
4.2490 0.0142 0.0000
-1.6182 3.9288 0.0000
-1.3154 -1.9715 3.5266
ATOMIC_POSITIONS crystal
W 0.2500 0.7500 0.5000
Cl 0.7500 0.2500 0.5000
Cl 0.0000 0.0000 0.0000
Fe 0.5000 0.5000 0.0000
! Space-group type: I-4m2
! Size of the total moment: 1.4 Bohr magnetons per cell

=====

Quick one: most stable of them? version A

=====

Version A
! meta-GGA SCAN FeWCl2, PBEsol geometry; values from VASP
&SYSTEM
  ibrav = 0, nat = 4, ntyp = 3
/
ATOMIC_SPECIES
Fe 55.84 Fe.upf
Cl 35.45 Cl.upf
W 183.84 W.upf
CELL_PARAMETERS angstrom
-1.2386 -0.4029 -2.5142
-3.3266 -1.4868 1.8771
-1.5708 5.0989 1.2550
ATOMIC_POSITIONS crystal
Fe 0.5000 0.5000 0.5000
Cl 0.1460 0.0000 0.2532
Cl 0.8540 0.0000 0.7468
W 0.0000 0.5000 0.0000
! Space-group type: P2/m
! Size of the total moment: 3.6 Bohr magnetons per cell

=====

Version B
! meta-GGA SCAN FeWCl2, PBEsol geometry; values from VASP
&SYSTEM
  ibrav = 0, nat = 4, ntyp = 3
/
ATOMIC_SPECIES
Cl 35.45 Cl.upf
Fe 55.84 Fe.upf
W 183.84 W.upf
CELL_PARAMETERS angstrom
-1.8296 -2.0545 0.9632
3.1084 -3.0133 -0.5230
1.0796 3.4144 4.9231
ATOMIC_POSITIONS crystal
Cl 0.2570 0.7570 0.5140
Cl 0.0514 0.0514 0.1029
Fe 0.4310 0.4310 0.8621
W 0.7605 0.2605 0.5210
! Space-group type: Imm2
! Size of the total moment: 3.2 Bohr magnetons per cell

=====

Quick one: most stable of them? version A

=====

Version A
! meta-GGA SCAN FeWCl2, PBEsol geometry; values from VASP
&SYSTEM
  ibrav = 0, nat = 4, ntyp = 3
/
ATOMIC_SPECIES
W 183.84 W.upf
Fe 55.84 Fe.upf
Cl 35.45 Cl.upf
CELL_PARAMETERS angstrom
-1.7732 2.0538 -0.7207
-1.2202 -2.6392 0.9491
0.0505 2.7309 7.6584
ATOMIC_POSITIONS crystal
W 0.5000 0.0000 0.0000
Fe 0.5000 0.0000 0.5000
Cl 0.0000 0.0000 0.7475
Cl 0.0000 0.0000 0.2525
! Space-group type: Cmmm
! Size of the total moment: 3.8 Bohr magnetons per cell

=====

Version B
! meta-GGA SCAN FeWCl2, PBEsol geometry; values from VASP
&SYSTEM
  ibrav = 0, nat = 4, ntyp = 3
/
ATOMIC_SPECIES
Fe 55.84 Fe.upf
Cl 35.45 Cl.upf
W 183.84 W.upf
CELL_PARAMETERS angstrom
2.9622 0.0000 0.0000
1.4811 2.5653 0.0000
1.4811 0.8551 8.0626
ATOMIC_POSITIONS crystal
Fe 0.5000 0.5000 0.5000
Cl 0.9026 0.9026 0.2923
Cl 0.0974 0.0974 0.7077
W 0.0000 0.0000 0.0000
! Space-group type: R-3m
! Size of the total moment: 3.3 Bohr magnetons per cell

=====

Quick one: most stable of them? version B

=====

Version A
! meta-GGA SCAN FeWCl2, PBEsol geometry; values from VASP
&SYSTEM
  ibrav = 0, nat = 4, ntyp = 3
/
ATOMIC_SPECIES
Cl 35.45 Cl.upf
W 183.84 W.upf
Fe 55.84 Fe.upf
CELL_PARAMETERS angstrom
-1.7897 -1.8805 1.5067
0.3214 -2.0460 -2.1719
4.7545 -2.2574 2.8301
ATOMIC_POSITIONS crystal
Cl 0.0000 0.0000 0.7569
Cl 0.0000 0.0000 0.2431
W 0.5000 0.5000 0.5000
Fe 0.5000 0.5000 0.0000
! Space-group type: P4/mmm
! Size of the total moment: 1.3 Bohr magnetons per cell

=====

Version B
! meta-GGA SCAN FeWCl2, PBEsol geometry; values from VASP
&SYSTEM
  ibrav = 0, nat = 4, ntyp = 3
/
ATOMIC_SPECIES
Fe 55.84 Fe.upf
Cl 35.45 Cl.upf
W 183.84 W.upf
CELL_PARAMETERS angstrom
-3.4575 0.9996 2.2124
-0.0683 -0.5720 4.1853
0.0408 3.3381 2.5892
ATOMIC_POSITIONS crystal
Fe 0.0000 0.0000 0.0000
Cl 0.7500 0.7500 0.7500
Cl 0.2500 0.2500 0.2500
W 0.5000 0.5000 0.5000
! Space-group type: Fm-3m
! Size of the total moment: 2.1 Bohr magnetons per cell

=====

Quick one: most stable of them? version A